Entry from the Alexandria database: a relaxed PmTm2Rh crystal (PBE-GGA). Values from VASP.

```
&SYSTEM
  ibrav = 0, nat = 8, ntyp = 3
/
ATOMIC_SPECIES
Pm 145.00 Pm.upf
Tm 168.93 Tm.upf
Rh 102.91 Rh.upf
ATOMIC_POSITIONS crystal
Pm 0.428 0.856 0.250
Pm 0.572 0.144 0.750
Tm 0.141 0.281 0.432
Tm 0.859 0.719 0.568
Tm 0.859 0.719 0.932
Tm 0.141 0.281 0.068
Rh 0.743 0.485 0.250
Rh 0.257 0.515 0.750
CELL_PARAMETERS angstrom
3.756 -0.150 0.000
-1.633 6.126 0.000
0.000 0.000 9.320
```

Calculated values
Calculated formation energy: -0.50 eV per atom
Polymorph energy (0 for the lowest one): 27 meV/atom
Energy: -5.763 eV/atom
Total magnetic moment: 0.0 μB per cell
Symmetry: Cmcm (63)

Entry from the Alexandria database: a relaxed VOs2Ru crystal (PBE-GGA). Values from VASP.

```
&SYSTEM
  ibrav = 0, nat = 4, ntyp = 3
/
ATOMIC_SPECIES
V 50.94 V.upf
Os 190.23 Os.upf
Ru 101.07 Ru.upf
ATOMIC_POSITIONS crystal
V 0.292 0.264 0.504
Os 0.919 0.003 0.004
Os 0.512 0.770 0.504
Ru 0.138 0.521 0.004
CELL_PARAMETERS angstrom
0.344 -2.623 0.594
4.303 -4.173 -2.385
-1.984 7.826 4.789
```

Calculated values
Calculated formation energy: -0.01 eV per atom
Polymorph energy (0 for the lowest one): 65 meV/atom
Energy: -10.221 eV/atom
Total magnetic moment: 0.0 μB per cell
Symmetry: Pm (6)

Entry from the Alexandria database: a relaxed Dy2YHoS4 crystal (PBE-GGA). Values from VASP.

```
&SYSTEM
  ibrav = 0, nat = 8, ntyp = 4
/
ATOMIC_SPECIES
Dy 162.50 Dy.upf
Y 88.91 Y.upf
Ho 164.93 Ho.upf
S 32.06 S.upf
ATOMIC_POSITIONS crystal
Dy 0.000 0.000 0.000
Dy 0.500 0.000 0.500
Y 0.500 0.500 0.000
Ho 0.000 0.500 0.500
S 0.000 0.750 0.749
S 0.000 0.250 0.251
S 0.500 0.749 0.252
S 0.500 0.251 0.748
CELL_PARAMETERS angstrom
-3.568 -1.464 0.345
1.733 -2.829 5.911
-1.306 4.368 5.020
```

Calculated values
Energy: -6.582 eV/atom
Total magnetic moment: 0.0 μB per cell
Symmetry: P2/m (10)

Entry from the Alexandria database: a relaxed KScGeTe3 crystal (PBE-GGA). Values from VASP.

```
&SYSTEM
  ibrav = 0, nat = 12, ntyp = 4
/
ATOMIC_SPECIES
K 39.10 K.upf
Sc 44.96 Sc.upf
Ge 72.64 Ge.upf
Te 127.60 Te.upf
ATOMIC_POSITIONS crystal
K 0.250 0.225 0.274
K 0.750 0.775 0.726
Sc 0.250 0.632 0.157
Sc 0.750 0.368 0.843
Ge 0.250 0.119 0.553
Ge 0.750 0.881 0.447
Te 0.750 0.878 0.210
Te 0.250 0.122 0.790
Te 0.250 0.665 0.428
Te 0.750 0.335 0.572
Te 0.750 0.394 0.106
Te 0.250 0.606 0.894
CELL_PARAMETERS angstrom
-1.618 3.798 0.687
-5.345 -3.465 6.565
9.941 3.450 4.337
```

Calculated values
Energy: -4.449 eV/atom
Total magnetic moment: 0.0 μB per cell
Symmetry: P2_1/m (11)

Entry from the Alexandria database: a relaxed Ti4Co2Ni3 crystal (PBE-GGA). Values from VASP.

```
&SYSTEM
  ibrav = 0, nat = 9, ntyp = 3
/
ATOMIC_SPECIES
Ti 47.87 Ti.upf
Co 58.93 Co.upf
Ni 58.69 Ni.upf
ATOMIC_POSITIONS crystal
Ti 0.661 0.678 0.882
Ti 0.035 0.930 0.337
Ti 0.965 0.070 0.663
Ti 0.339 0.322 0.118
Co 0.317 0.367 0.790
Co 0.683 0.633 0.210
Ni 0.341 0.319 0.452
Ni 0.000 0.000 0.000
Ni 0.659 0.681 0.548
CELL_PARAMETERS angstrom
3.847 0.000 0.001
1.923 3.882 0.441
-0.001 0.359 7.905
```

Calculated values
Calculated formation energy: -0.34 eV per atom
Energy: -7.357 eV/atom
Total magnetic moment: 0.0 μB per cell
Symmetry: C2/m (12)

Entry from the Alexandria database: a relaxed LiCuSO4 crystal (PBE-GGA). Values from VASP.

```
&SYSTEM
  ibrav = 0, nat = 14, ntyp = 4
/
ATOMIC_SPECIES
Li 6.94 Li.upf
Cu 63.55 Cu.upf
S 32.06 S.upf
O 16.00 O.upf
ATOMIC_POSITIONS crystal
Li 0.000 0.000 0.000
Li 0.000 0.500 0.500
Cu 0.500 0.000 0.500
Cu 0.000 0.000 0.500
S 0.610 0.640 0.140
S 0.390 0.360 0.860
O 0.714 0.709 0.863
O 0.286 0.637 0.791
O 0.714 0.363 0.209
O 0.286 0.291 0.137
O 0.270 0.756 0.256
O 0.718 0.756 0.256
O 0.282 0.244 0.744
O 0.730 0.244 0.744
CELL_PARAMETERS angstrom
5.607 0.000 0.000
2.803 5.199 -0.590
2.803 1.022 5.132
```

Calculated values
Energy: -5.550 eV/atom
Total magnetic moment: 0.0 μB per cell
Symmetry: Imma (74)